Material: Sn3Ru
Method: DFT, PBE
State: relaxed

Output
energy of formation from the pure elements: -66 meV per atom
energy above the most stable polymorph in this dataset: 0 meV/atom
D(E_F): 0.44 states/eV/atom
spin magnetization: 0.0 μB per cell
E_tot: -5.39 eV per atom

Unit cell a=4.1410 b=9.5880 c=8.7895 alpha=90.00 beta=90.00 gamma=90.00
With the nearest neighbours (Å) after each atom.
Space group Cmcm (No. 63)
Asymmetric unit:
1 Sn 0.0000 0.0734 0.2500 [4 per cell]  3 Ru 2.84
2 Sn 0.0000 0.3566 0.0499 [8 per cell]  3 Ru 2.82-2.93, 3 Sn 2.89-3.04
3 Ru 0.0000 0.2232 0.7500 [4 per cell]  9 Sn 2.82-2.93